(1)
Compound: SrNp2N4
Source: the Open Quantum Materials Database
Functional: GGA-PBE
Structure: relaxed

Unit cell a=5.9022 b=5.9022 c=10.7228 alpha=90.00 beta=90.00 gamma=146.04
Atoms (fractional coordinates):
1 Np 0.8675 0.1325 0.4314
2 Np 0.1325 0.8675 0.9314
3 Np 0.1325 0.8675 0.5686
4 Np 0.8675 0.1325 0.0686
5 N 0.5000 0.5000 0.0000
6 N 0.2364 0.7636 0.0964
7 N 0.7636 0.2364 0.9036
8 N 0.2364 0.7636 0.4036
9 N 0.5000 0.5000 0.5000
10 N 0.9390 0.0610 0.2500
11 N 0.0610 0.9390 0.7500
12 N 0.7636 0.2364 0.5964
13 Sr 0.3929 0.6071 0.7500
14 Sr 0.6071 0.3929 0.2500

Calculated values
- uncorrected energy (eV per atom) = -9.743
- calculated volume (A^3/atom) = 14.9
- ρ (Mg/m³) = 9.83


(2)
Compound: NaGaSiNi
Source: the Open Quantum Materials Database
Functional: GGA-PBE
Structure: relaxed

Unit cell a=4.3676 b=4.3676 c=4.3676 alpha=60.00 beta=60.00 gamma=60.00
Atoms (fractional coordinates):
1 Ga 0.5000 0.5000 0.5000
2 Ni 0.2500 0.2500 0.2500
3 Si 0.0000 0.0000 0.0000
4 Na 0.7500 0.7500 0.7500

Calculated values
- uncorrected energy (eV per atom) = -3.725
- calculated volume (A^3/atom) = 14.7
- offset from the most stable computed form (eV/atom) = 0.000
- ρ (Mg/m³) = 5.06


(3)
Compound: Pr2NdMg3Tl2Cd
Source: the Open Quantum Materials Database
Functional: GGA-PBE
Structure: relaxed

Unit cell a=4.7714 b=7.7354 c=7.7354 alpha=119.84 beta=90.00 gamma=90.00
Atoms (fractional coordinates):
1 Mg 0.5000 0.2381 0.0004
2 Mg 0.5000 0.0004 0.2381
3 Mg 0.5000 0.7617 0.7617
4 Pr 0.0000 0.9998 0.5785
5 Pr 0.0000 0.5785 0.9998
6 Tl 0.5000 0.3338 0.6654
7 Tl 0.5000 0.6654 0.3338
8 Cd 0.0000 0.0013 0.0013
9 Nd 0.0000 0.4210 0.4210

Calculated values
- uncorrected energy (eV per atom) = -3.083
- calculated volume (A^3/atom) = 27.5
- ρ (Mg/m³) = 6.84


(4)
Compound: Hf2ZnOs
Source: the Open Quantum Materials Database
Functional: GGA-PBE
Structure: relaxed

Unit cell a=4.5883 b=4.5883 c=4.5883 alpha=60.00 beta=60.00 gamma=60.00
Atoms (fractional coordinates):
1 Os 0.0000 0.0000 0.0000
2 Hf 0.5000 0.5000 0.5000
3 Hf 0.2500 0.2500 0.2500
4 Zn 0.7500 0.7500 0.7500

Calculated values
- uncorrected energy (eV per atom) = -8.212
- calculated volume (A^3/atom) = 17.1
- E_form (eV per atom) = -0.1114
- ρ (Mg/m³) = 14.89


(5)
Compound: NaMgCdIn
Source: the Open Quantum Materials Database
Functional: GGA-PBE
Structure: relaxed

Unit cell a=5.0968 b=5.0968 c=5.0968 alpha=60.00 beta=60.00 gamma=60.00
Atoms (fractional coordinates):
1 Mg 0.0000 0.0000 0.0000
2 In 0.2500 0.2500 0.2500
3 Cd 0.5000 0.5000 0.5000
4 Na 0.7500 0.7500 0.7500

Calculated values
- uncorrected energy (eV per atom) = -1.689
- calculated volume (A^3/atom) = 23.4
- offset from the most stable computed form (eV/atom) = 0.020
- ρ (Mg/m³) = 4.87


(6)
Compound: NaNdBi
Source: the Open Quantum Materials Database
Functional: GGA-PBE
Structure: relaxed

Unit cell a=5.3106 b=5.3106 c=5.3106 alpha=60.00 beta=60.00 gamma=60.00
Atoms (fractional coordinates):
1 Bi 0.2500 0.2500 0.2500
2 Na 0.7500 0.7500 0.7500
3 Nd 0.0000 0.0000 0.0000

Calculated values
- uncorrected energy (eV per atom) = -3.577
- calculated volume (A^3/atom) = 35.3
- ρ (Mg/m³) = 5.90


(7)
Compound: CsGdSO
Source: the Open Quantum Materials Database
Functional: GGA-PBE
Structure: relaxed

Unit cell a=3.8091 b=3.8091 c=15.1029 alpha=90.00 beta=90.00 gamma=120.00
Atoms (fractional coordinates):
1 Cs 0.6667 0.3333 0.7459
2 Cs 0.3333 0.6667 0.2459
3 Gd 0.0000 0.0000 0.0176
4 Gd 0.0000 0.0000 0.5176
5 S 0.6667 0.3333 0.4067
6 S 0.3333 0.6667 0.9067
7 O 0.6667 0.3333 0.0798
8 O 0.3333 0.6667 0.5798

Calculated values
- uncorrected energy (eV per atom) = -5.791
- calculated volume (A^3/atom) = 23.7
- offset from the most stable computed form (eV/atom) = 0.075
- ρ (Mg/m³) = 5.92


(8)
Compound: CoMo4SN2
Source: the Open Quantum Materials Database
Functional: GGA-PBE
Structure: relaxed

Unit cell a=2.9004 b=2.9004 c=13.3813 alpha=90.00 beta=90.00 gamma=120.00
Atoms (fractional coordinates):
1 Mo 0.0000 0.0000 0.3455
2 Mo 0.6667 0.3333 0.8606
3 Mo 0.0000 0.0000 0.6545
4 Mo 0.6667 0.3333 0.1394
5 Co 0.6667 0.3333 0.5000
6 N 0.3333 0.6667 0.7560
7 N 0.3333 0.6667 0.2440
8 S 0.0000 0.0000 0.0000

Calculated values
- uncorrected energy (eV per atom) = -8.869
- calculated volume (A^3/atom) = 12.2
- ρ (Mg/m³) = 8.56


(9)
Compound: SrSiAs3Pd6
Source: the Open Quantum Materials Database
Functional: GGA-PBE
Structure: relaxed

Unit cell a=7.3774 b=7.3774 c=3.9687 alpha=90.00 beta=90.00 gamma=120.00
Atoms (fractional coordinates):
1 Pd 0.6021 0.8010 0.0000
2 Pd 0.2576 0.1288 0.5000
3 Pd 0.8712 0.7424 0.5000
4 Pd 0.8712 0.1288 0.5000
5 Pd 0.1990 0.3979 0.0000
6 Pd 0.1990 0.8010 0.0000
7 As 0.4771 0.9541 0.5000
8 As 0.0459 0.5229 0.5000
9 As 0.4771 0.5229 0.5000
10 Sr 0.6667 0.3333 0.0000
11 Si 0.0000 0.0000 0.0000

Calculated values
- uncorrected energy (eV per atom) = -5.352
- calculated volume (A^3/atom) = 17.0
- ρ (Mg/m³) = 8.69


(10)
Compound: Na2ZnTeO6
Source: the Open Quantum Materials Database
Functional: GGA-PBE
Structure: relaxed

Unit cell a=5.5723 b=5.5723 c=5.5723 alpha=60.00 beta=60.00 gamma=60.00
Atoms (fractional coordinates):
1 O 0.7575 0.2425 0.7575
2 O 0.2425 0.2425 0.7575
3 O 0.2425 0.7575 0.2425
4 O 0.2425 0.7575 0.7575
5 O 0.7575 0.2425 0.2425
6 O 0.7575 0.7575 0.2425
7 Na 0.7500 0.7500 0.7500
8 Na 0.2500 0.2500 0.2500
9 Te 0.0000 0.0000 0.0000
10 Zn 0.5000 0.5000 0.5000

Calculated values
- uncorrected energy (eV per atom) = -4.694
- calculated volume (A^3/atom) = 12.2
- ρ (Mg/m³) = 4.55


(11)
Compound: Lu4Nb2P3N3
Source: the Open Quantum Materials Database
Functional: GGA-PBE
Structure: relaxed

Unit cell a=5.9480 b=5.9480 c=12.5512 alpha=103.53 beta=103.53 gamma=60.50
Atoms (fractional coordinates):
1 Lu 0.2014 0.0371 0.6067
2 Lu 0.1297 0.2972 0.3934
3 Lu 0.8703 0.7028 0.6066
4 Lu 0.7986 0.9629 0.3933
5 Lu 0.7028 0.8703 0.1066
6 Lu 0.2972 0.1297 0.8934
7 Lu 0.0371 0.2014 0.1067
8 Lu 0.9629 0.7986 0.8933
9 Nb 0.3713 0.5317 0.0928
10 Nb 0.6287 0.4683 0.9072
11 Nb 0.5317 0.3713 0.5928
12 Nb 0.4683 0.6287 0.4072
13 P 0.1176 0.8824 0.2500
14 P 0.7193 0.5818 0.2493
15 P 0.2807 0.4182 0.7507
16 P 0.5818 0.7193 0.7493
17 P 0.8824 0.1176 0.7500
18 P 0.4182 0.2806 0.2507
19 N 0.8364 0.3313 0.4998
20 N 0.6687 0.1636 0.0002
21 N 0.3313 0.8364 0.9998
22 N 0.0000 0.5000 0.0000
23 N 0.5000 0.0000 0.5000
24 N 0.1636 0.6687 0.5002

Calculated values
- uncorrected energy (eV per atom) = -7.913
- calculated volume (A^3/atom) = 15.5
- ρ (Mg/m³) = 9.11


(12)
Compound: NdBe13
Source: the Open Quantum Materials Database
Functional: GGA-PBE
Structure: relaxed

Unit cell a=7.2861 b=7.2861 c=7.2861 alpha=120.00 beta=90.00 gamma=120.00
Atoms (fractional coordinates):
1 Be 0.9369 0.0000 0.2884
2 Be 0.0631 0.7746 0.0631
3 Be 0.7884 0.0000 0.5631
4 Be 0.2116 0.6485 0.2116
5 Be 0.0000 0.0000 0.0000
6 Be 0.7116 0.0000 0.0631
7 Be 0.4369 0.6485 0.4369
8 Be 0.9369 0.2254 0.9369
9 Be 0.0631 0.3515 0.2884
10 Be 0.5631 0.7746 0.2116
11 Be 0.7884 0.3515 0.7884
12 Be 0.4369 0.0000 0.2116
13 Be 0.2884 0.0000 0.9369
14 Be 0.5000 0.0000 0.5000
15 Be 0.7116 0.6485 0.9369
16 Be 0.5631 0.0000 0.7884
17 Be 0.7884 0.2254 0.4369
18 Be 0.4369 0.2254 0.7884
19 Be 0.2884 0.2254 0.2884
20 Be 0.2116 0.7746 0.5631
21 Be 0.0631 0.0000 0.7116
22 Be 0.9369 0.6485 0.7116
23 Be 0.7116 0.7746 0.7116
24 Be 0.5631 0.3515 0.5631
25 Be 0.2884 0.3515 0.0631
26 Be 0.2116 0.0000 0.4369
27 Nd 0.7500 0.5000 0.2500
28 Nd 0.2500 0.5000 0.7500

Calculated values
- uncorrected energy (eV per atom) = -3.986
- calculated volume (A^3/atom) = 9.8
- ρ (Mg/m³) = 3.17